No. 1
Entry from the Alexandria database: Ce2SiTc3 after structural relaxation (PBE-GGA).

a = 5.4258 Å, b = 5.4258 Å, c = 8.5723 Å
α = 90.00°, β = 90.00°, γ = 120.00°
Space group P6_3/mmc (No. 194)
Symmetry-distinct sites (fractional):
Ce 0.3333 0.6667 0.0790 (multiplicity 4)
Si 0.0000 0.0000 0.0000 (multiplicity 2)
Tc 0.1704 0.3408 0.7500 (multiplicity 6)

Properties
The energy is -8.40 eV per atom. The calculation puts the uncorrected formation energy at -0.33 eV per atom. The value obtained for the energy relative to the lowest polymorph listed for this composition is 0.017 eV per atom.

***

No. 2
Entry from the Alexandria database: Ce4SiTc after structural relaxation (PBE-GGA).

a = 8.621 Å, b = 13.373 Å, c = 6.921 Å
α = 90.00°, β = 128.20°, γ = 90.00°
Space group C2/c (No. 15)
Symmetry-distinct sites (fractional):
Ce 0.212 0.239 0.219 (multiplicity 8)
Ce 0.241 0.487 0.778 (multiplicity 8)
Si 0.000 0.124 0.750 (multiplicity 4)
Tc 0.000 0.374 0.250 (multiplicity 4)

Properties
The energy is -6.72 eV per atom. The calculation puts the uncorrected formation energy at -0.13 eV per atom. The value obtained for the energy relative to the lowest polymorph listed for this composition is 0.157 eV per atom.

***

No. 3
Entry from the Alexandria database: Ce4Si2Tc after structural relaxation (PBE-GGA).

a = 4.9614 Å, b = 4.9614 Å, c = 23.6132 Å
α = 90.00°, β = 90.00°, γ = 120.00°
Space group R-3m (No. 166, hexagonal axes)
Symmetry-distinct sites (fractional):
Ce 0.0000 0.0000 0.1175 (multiplicity 6)
Ce 0.0000 0.0000 0.2738 (multiplicity 6)
Si 0.0000 0.0000 0.3966 (multiplicity 6)
Tc 0.0000 0.0000 0.5000 (multiplicity 3)

Properties
The energy is -6.73 eV per atom. The calculation puts the uncorrected formation energy at -0.31 eV per atom.

***

No. 4
Entry from the Alexandria database: Ce6Si3Tc after structural relaxation (PBE-GGA).

a = 10.9959 Å, b = 10.9959 Å, c = 14.2833 Å
α = 90.00°, β = 90.00°, γ = 120.00°
Space group R-3m (No. 166, hexagonal axes)
Symmetry-distinct sites (fractional):
Ce 0.1026 0.5513 0.2773 (multiplicity 18)
Ce 0.1038 0.2077 0.8741 (multiplicity 18)
Si 0.0479 0.5240 0.9212 (multiplicity 18)
Tc 0.0000 0.0000 0.0000 (multiplicity 3)
Tc 0.0000 0.0000 0.5000 (multiplicity 3)

Properties
The energy is -6.50 eV per atom. The calculation puts the uncorrected formation energy at -0.27 eV per atom.

***

No. 5
Entry from the Alexandria database: Ce3Si7Tc after structural relaxation (PBE-GGA).

a = 4.021 Å, b = 19.151 Å, c = 10.769 Å
α = 90.00°, β = 90.00°, γ = 90.00°
Space group Cmcm (No. 63)
Symmetry-distinct sites (fractional):
Ce 0.000 0.108 0.054 (multiplicity 8)
Ce 0.000 0.236 0.750 (multiplicity 4)
Si 0.000 0.270 0.039 (multiplicity 8)
Si 0.000 0.375 0.144 (multiplicity 8)
Si 0.000 0.389 0.750 (multiplicity 4)
Si 0.000 0.498 0.123 (multiplicity 8)
Tc 0.000 0.058 0.750 (multiplicity 4)

Properties
The energy is -6.52 eV per atom. The calculation puts the uncorrected formation energy at -0.51 eV per atom.

***

No. 6
Entry from the Alexandria database: CeSiTc2 after structural relaxation (PBE-GGA).

a = 2.9451 Å, b = 2.9451 Å, c = 26.2422 Å
α = 90.00°, β = 90.00°, γ = 120.00°
Space group R-3m (No. 166, hexagonal axes)
Symmetry-distinct sites (fractional):
Ce 0.0000 0.0000 0.0000 (multiplicity 3)
Si 0.0000 0.0000 0.5000 (multiplicity 3)
Tc 0.0000 0.0000 0.0965 (multiplicity 6)

Properties
The energy is -7.97 eV per atom. The calculation puts the uncorrected formation energy at 0.06 eV per atom. The value obtained for the energy relative to the lowest polymorph listed for this composition is 0.340 eV per atom.

***

No. 7
Entry from the Alexandria database: CeSi4Tc9 after structural relaxation (PBE-GGA).

a = 8.331 Å, b = 8.331 Å, c = 12.657 Å
α = 90.00°, β = 90.00°, γ = 90.00°
Space group I4/mcm (No. 140)
Symmetry-distinct sites (fractional):
Ce 0.000 0.000 0.250 (multiplicity 4)
Si 0.167 0.333 0.128 (multiplicity 16)
Tc 0.000 0.500 0.000 (multiplicity 4)
Tc 0.068 0.191 0.500 (multiplicity 16)
Tc 0.131 0.369 0.321 (multiplicity 16)

Properties
The energy is -8.95 eV per atom. The calculation puts the uncorrected formation energy at -0.31 eV per atom.

***

No. 8
Entry from the Alexandria database: Ce3Si4Tc4 after structural relaxation (PBE-GGA).

a = 7.523 Å, b = 7.523 Å, c = 7.523 Å
α = 90.00°, β = 90.00°, γ = 90.00°
Space group I-43m (No. 217)
Symmetry-distinct sites (fractional):
Ce 0.000 0.000 0.500 (multiplicity 6)
Si 0.184 0.184 0.816 (multiplicity 8)
Tc 0.135 0.135 0.135 (multiplicity 8)

Properties
The energy is -7.91 eV per atom. The calculation puts the uncorrected formation energy at -0.55 eV per atom.